Entry 1:
Below is crystalline FeOs2Pb at its relaxed geometry, with properties calculated at the GGA-PBE level.

## Properties
E_form = 0.7489 eV per atom

Unit cell a=4.7100 b=4.7100 c=5.1224 alpha=80.20 beta=80.20 gamma=36.48
Fractional positions:
Fe  0.2605  0.2605  0.2104
Os  0.9992  0.9992  0.9885
Os  0.7393  0.7393  0.8175
Pb  0.5010  0.5010  0.4836



Entry 2:
Below is crystalline Ba6SiI3Br2 at its relaxed geometry, with properties calculated at the GGA-PBE level.

## Properties
uncorrected formation energy = -1326 meV per atom

Unit cell a=8.3463 b=8.3463 c=8.7483 alpha=99.10 beta=99.10 gamma=119.80
Fractional positions:
Ba  0.9276  0.6108  0.7817
Ba  0.7593  0.7593  0.2234
Ba  0.0724  0.3892  0.2183
Ba  0.6108  0.9276  0.7817
Ba  0.2407  0.2407  0.7766
Ba  0.3892  0.0724  0.2183
Si  0.0000  0.0000  0.0000
I  0.1712  0.8288  0.5000
I  0.8288  0.1712  0.5000
I  0.5000  0.5000  0.5000
Br  0.3344  0.6656  0.0000
Br  0.6656  0.3344  0.0000



Entry 3:
Below is crystalline Tl2In3Pb8 at its relaxed geometry, with properties calculated at the GGA-PBE level.

## Properties
E_form = 0.0344 eV per atom
polymorph energy (0 for the lowest one) = 0.0 meV/atom

Unit cell a=4.9004 b=7.8019 c=10.8811 alpha=83.97 beta=90.01 gamma=90.01
Fractional positions:
Tl  0.5000  0.7394  0.4353
Tl  0.5000  0.2606  0.5647
In  0.5000  0.0000  0.0000
In  0.0000  0.7225  0.9313
In  0.0000  0.2775  0.0687
Pb  0.0000  0.4287  0.3545
Pb  0.0000  0.5713  0.6455
Pb  0.0000  0.8525  0.2132
Pb  0.0000  0.1475  0.7868
Pb  0.5000  0.4363  0.8569
Pb  0.5000  0.8572  0.7232
Pb  0.5000  0.1428  0.2768
Pb  0.5000  0.5637  0.1431



Entry 4:
Below is crystalline ScMn2CoC at its relaxed geometry, with properties calculated at the GGA-PBE level.

## Properties
E_form = -0.1611 eV per atom

Unit cell a=3.9005 b=3.9005 c=3.8837 alpha=90.00 beta=90.00 gamma=90.00
Fractional positions:
Sc  0.5000  0.5000  0.5000
C  0.0000  0.0000  0.0000
Mn  0.0000  0.5000  0.0000
Mn  0.5000  0.0000  0.0000
Co  0.0000  0.0000  0.5000



Entry 5:
Below is crystalline CaHoGa at its relaxed geometry, with properties calculated at the GGA-PBE level.

## Properties
E_form = -0.1919 eV per atom
polymorph energy (0 for the lowest one) = 152.6 meV/atom

Unit cell a=3.7620 b=5.0381 c=5.0381 alpha=120.00 beta=90.00 gamma=90.00
Fractional positions:
Ca  0.9539  0.0000  0.0000
Ho  0.4192  0.3333  0.6667
Ga  0.6269  0.6667  0.3333



Entry 6:
Below is crystalline MnMoCl2 at its relaxed geometry, with properties calculated at the GGA-PBE level.

## Properties
uncorrected formation energy = 899 meV per atom
polymorph energy (0 for the lowest one) = 1202.1 meV/atom

Unit cell a=4.2643 b=4.2643 c=4.2643 alpha=60.00 beta=60.00 gamma=60.00
Fractional positions:
Mo  0.5000  0.5000  0.5000
Mn  0.0000  0.0000  0.0000
Cl  0.2500  0.2500  0.2500
Cl  0.7500  0.7500  0.7500



Entry 7:
Below is crystalline Mg3PN at its relaxed geometry, with properties calculated at the GGA-PBE level.

## Properties
uncorrected formation energy = -667 meV per atom
polymorph energy (0 for the lowest one) = 71.2 meV/atom

Unit cell a=6.4850 b=4.1184 c=7.1282 alpha=90.00 beta=72.17 gamma=90.00
Fractional positions:
P  0.6699  0.4631  0.7254
P  0.6608  0.9632  0.2220
Mg  0.2069  0.9635  0.3432
Mg  0.1240  0.4634  0.6048
Mg  0.4793  0.9632  0.6322
Mg  0.8517  0.4634  0.3152
Mg  0.4750  0.4635  0.0993
Mg  0.8555  0.9633  0.8480
N  0.1604  0.9633  0.6530
N  0.1704  0.4633  0.2948



Entry 8:
Below is crystalline MgFeTc2 at its relaxed geometry, with properties calculated at the GGA-PBE level.

## Properties
E_form = 0.2398 eV per atom

Unit cell a=3.0532 b=3.0532 c=6.3783 alpha=90.00 beta=90.00 gamma=90.00
Fractional positions:
Fe  0.5000  0.5000  0.2500
Mg  0.5000  0.5000  0.7500
Tc  0.0000  0.0000  0.0441
Tc  0.0000  0.0000  0.4559



Entry 9:
Below is crystalline Ac2Tm2Tl3 at its relaxed geometry, with properties calculated at the GGA-PBE level.

## Properties
E_form = -0.1534 eV per atom
polymorph energy (0 for the lowest one) = 30.2 meV/atom

Unit cell a=4.9324 b=7.0726 c=7.1928 alpha=91.83 beta=90.02 gamma=110.49
Fractional positions:
Ac  0.8582  0.7149  0.6001
Ac  0.1418  0.2851  0.3999
Tm  0.5784  0.1568  0.7907
Tm  0.4216  0.8432  0.2093
Tl  0.0000  0.0000  0.0000
Tl  0.7546  0.5101  0.1386
Tl  0.2454  0.4899  0.8614



Entry 10:
Below is crystalline Ba2NpSiO6 at its relaxed geometry, with properties calculated at the GGA-PBE level.

## Properties
uncorrected formation energy = -2794 meV per atom

Unit cell a=5.8068 b=5.8068 c=5.8069 alpha=60.00 beta=60.00 gamma=90.00
Fractional positions:
Ba  0.7500  0.2500  0.5000
Ba  0.2500  0.7500  0.5000
Np  0.0000  0.0000  0.0000
Si  0.5000  0.5000  0.0000
O  0.2740  0.2740  0.4520
O  0.7260  0.7260  0.0000
O  0.2740  0.7260  0.0000
O  0.7260  0.2740  0.0000
O  0.2740  0.2740  0.0000
O  0.7260  0.7260  0.5480



Entry 11:
Below is crystalline Ru2W2Au at its relaxed geometry, with properties calculated at the GGA-PBE level.

## Properties
E_form = 0.1965 eV per atom
polymorph energy (0 for the lowest one) = 0.0 meV/atom

Unit cell a=7.5280 b=7.5280 c=2.8517 alpha=90.00 beta=90.00 gamma=90.00
Fractional positions:
Ru  0.3663  0.8663  0.0000
Ru  0.8663  0.6337  0.0000
Ru  0.6337  0.1337  0.0000
Ru  0.1337  0.3663  0.0000
Au  0.0000  0.0000  0.0000
Au  0.5000  0.5000  0.0000
W  0.1601  0.6601  0.5000
W  0.6601  0.8399  0.5000
W  0.8399  0.3399  0.5000
W  0.3399  0.1601  0.5000



Entry 12:
Below is crystalline HoUNiRu at its relaxed geometry, with properties calculated at the GGA-PBE level.

## Properties
E_form = -0.1698 eV per atom

Unit cell a=4.7596 b=4.7596 c=4.7596 alpha=60.00 beta=60.00 gamma=60.00
Fractional positions:
Ru  0.7500  0.7500  0.7500
U  0.0000  0.0000  0.0000
Ho  0.5000  0.5000  0.5000
Ni  0.2500  0.2500  0.2500